Entry 1:
Pm3Ho3Pd4: optimized geometry, PBE.

Cell: 4.003 7.877 7.877 Å, 88.90 90.00 90.00°
Element x y z (fractional)
Pm (0.500, 0.666, 0.669)
Pm (0.500, 0.834, 0.166)
Pm (0.500, 0.331, 0.334)
Pd (0.000, 0.629, 0.371)
Pd (0.000, 0.877, 0.866)
Pd (0.000, 0.363, 0.637)
Pd (0.000, 0.134, 0.123)
Ho (0.000, 0.497, 0.000)
Ho (0.500, 0.168, 0.832)
Ho (0.000, 0.000, 0.503)

Density: 9.06 g cm⁻³
Energy of formation from the pure elements: -0.695 eV/atom
Spin magnetization: 0.00 μB per atom

Entry 2:
PmHo6Pd3: optimized geometry, PBE.

Cell: 7.228 8.687 8.687 Å, 98.35 90.00 90.00°
Element x y z (fractional)
Ho (0.664, 0.969, 0.031)
Ho (0.820, 0.965, 0.582)
Ho (0.820, 0.418, 0.035)
Ho (0.019, 0.769, 0.231)
Ho (0.320, 0.582, 0.965)
Ho (0.164, 0.031, 0.969)
Ho (0.320, 0.035, 0.418)
Ho (0.668, 0.291, 0.371)
Ho (0.168, 0.709, 0.629)
Ho (0.519, 0.231, 0.769)
Ho (0.168, 0.371, 0.291)
Ho (0.668, 0.629, 0.709)
Pd (0.454, 0.292, 0.086)
Pd (0.954, 0.708, 0.914)
Pd (0.878, 0.574, 0.426)
Pd (0.454, 0.914, 0.708)
Pd (0.378, 0.426, 0.574)
Pd (0.954, 0.086, 0.292)
Pm (0.040, 0.315, 0.685)
Pm (0.540, 0.685, 0.315)

Density: 8.95 g cm⁻³
Energy of formation from the pure elements: -0.508 eV/atom
Spin magnetization: 0.00 μB per atom

Entry 3:
PmHo4Pd2: optimized geometry, PBE.

Cell: 3.940 3.940 15.248 Å, 82.58 82.58 60.00°
Element x y z (fractional)
Ho (0.698, 0.698, 0.907)
Ho (0.302, 0.302, 0.093)
Ho (0.104, 0.104, 0.689)
Ho (0.896, 0.896, 0.311)
Pm (0.500, 0.500, 0.500)
Pd (0.599, 0.599, 0.202)
Pd (0.401, 0.401, 0.798)

Density: 8.34 g cm⁻³
Energy of formation from the pure elements: -0.374 eV/atom
Spin magnetization: 0.00 μB per atom

Entry 4:
PmHo3Pd3: optimized geometry, PBE.

Cell: 6.993 6.993 7.105 Å, 91.07 91.07 97.30°
Element x y z (fractional)
Pm (0.733, 0.733, 0.878)
Pm (0.267, 0.267, 0.122)
Ho (0.754, 0.246, 0.000)
Ho (0.345, 0.345, 0.634)
Ho (0.178, 0.822, 0.500)
Ho (0.822, 0.178, 0.500)
Ho (0.655, 0.655, 0.366)
Ho (0.246, 0.754, 0.000)
Pd (0.004, 0.507, 0.277)
Pd (0.493, 0.996, 0.723)
Pd (0.062, 0.062, 0.803)
Pd (0.507, 0.004, 0.277)
Pd (0.996, 0.493, 0.723)
Pd (0.938, 0.938, 0.197)

Density: 9.24 g cm⁻³
Energy of formation from the pure elements: -0.681 eV/atom
Spin magnetization: 0.00 μB per atom

Entry 5:
PmHo2Pd2: optimized geometry, PBE.

Cell: 3.887 7.901 7.901 Å, 90.00 90.00 90.00°
Element x y z (fractional)
Ho (0.000, 0.163, 0.163)
Ho (0.000, 0.837, 0.837)
Ho (0.000, 0.337, 0.663)
Ho (0.000, 0.663, 0.337)
Pd (0.500, 0.130, 0.870)
Pd (0.500, 0.370, 0.370)
Pd (0.500, 0.870, 0.130)
Pd (0.500, 0.630, 0.630)
Pm (0.500, 0.000, 0.500)
Pm (0.500, 0.500, 0.000)

Density: 9.41 g cm⁻³
Energy of formation from the pure elements: -0.700 eV/atom
Spin magnetization: 0.00 μB per atom
Polymorph energy (0 for the lowest one): 0 meV per atom

Entry 6:
Pm2Ho3Pd2: optimized geometry, PBE.

Cell: 3.718 10.009 6.604 Å, 56.97 73.61 89.88°
Element x y z (fractional)
Ho (0.161, 0.722, 0.680)
Ho (0.839, 0.278, 0.320)
Ho (0.000, 0.000, 0.000)
Pm (0.617, 0.379, 0.770)
Pm (0.383, 0.621, 0.230)
Pd (0.359, 0.070, 0.282)
Pd (0.641, 0.930, 0.718)

Density: 8.53 g cm⁻³
Energy of formation from the pure elements: -0.381 eV/atom
Spin magnetization: 0.00 μB per atom
Polymorph energy (0 for the lowest one): 141 meV per atom

Entry 7:
PmHo2Pd3: optimized geometry, PBE.

Cell: 3.518 3.518 10.643 Å, 90.00 90.00 90.00°
Element x y z (fractional)
Pm (0.500, 0.500, 0.500)
Ho (0.500, 0.500, 0.163)
Ho (0.500, 0.500, 0.837)
Pd (0.000, 0.000, 0.680)
Pd (0.000, 0.000, 0.320)
Pd (0.000, 0.000, 0.000)

Density: 10.01 g cm⁻³
Energy of formation from the pure elements: -0.856 eV/atom
Spin magnetization: 0.00 μB per atom
Polymorph energy (0 for the lowest one): 2 meV per atom

Entry 8:
PmHoPd3: optimized geometry, PBE.

Cell: 5.636 8.026 9.862 Å, 109.06 90.00 90.00°
Element x y z (fractional)
Pm (0.255, 0.609, 0.459)
Pm (0.745, 0.391, 0.541)
Pm (0.245, 0.109, 0.959)
Pm (0.755, 0.891, 0.041)
Ho (0.312, 0.945, 0.311)
Ho (0.812, 0.555, 0.189)
Ho (0.688, 0.055, 0.689)
Ho (0.188, 0.445, 0.811)
Pd (0.185, 0.000, 0.636)
Pd (0.748, 0.232, 0.982)
Pd (0.530, 0.247, 0.251)
Pd (0.970, 0.747, 0.751)
Pd (0.252, 0.768, 0.018)
Pd (0.248, 0.268, 0.518)
Pd (0.752, 0.732, 0.482)
Pd (0.315, 0.500, 0.136)
Pd (0.685, 0.500, 0.864)
Pd (0.815, 0.000, 0.364)
Pd (0.470, 0.753, 0.749)
Pd (0.030, 0.253, 0.249)

Density: 9.91 g cm⁻³
Energy of formation from the pure elements: -0.791 eV/atom
Spin magnetization: 0.00 μB per atom